Density functional theory data (PBE) for a relaxed MgMn2Hg crystal.

The structure belongs to space group P4mm (No. 99); the cell edges are 3.1844, 3.1844 and 6.6897 Å and the angles 90.00°, 90.00° and 90.00°. The distinct sites, in fractional coordinates, are Mg at (0.0000, 0.0000, 0.0000), Mn at (0.0000, 0.0000, 0.4386), Mn at (0.5000, 0.5000, 0.2688) and Hg at (0.5000, 0.5000, 0.7107).

As for the volume: 67.8 Å³ per cell. For the magnetic moment, the calculation gives 0.22 Bohr magnetons per cell. As for the energy of formation from the pure elements: 148 meV/atom. For the total DFT energy (no corrections), the calculation gives -19.64 eV per cell.